# 1
The following is a PBE calculation of a relaxed structure of RbCd3Br, from the Alexandria database.

a = 6.941 Å, b = 6.941 Å, c = 6.941 Å
α = 90.00°, β = 90.00°, γ = 90.00°
Fractional coordinates of all 5 atoms:
Rb (0.000, 0.000, 0.000)
Cd (0.000, 0.000, 0.500)
Cd (0.000, 0.500, 0.000)
Cd (0.500, 0.000, 0.000)
Br (0.500, 0.500, 0.500)

**Space group**: No. 221
**Crystal system**: cubic
**Energy relative to the lowest polymorph listed for this composition**: 141 meV/atom
**ΔE_f (raw)**: 0.9 eV/f.u.
**Total moment**: 0.0 Bohr magnetons per cell


# 2
The following is a PBE calculation of a relaxed structure of RbCdRhBr6, from the Alexandria database.

a = 6.973 Å, b = 6.973 Å, c = 7.628 Å
α = 90.00°, β = 90.00°, γ = 120.00°
Fractional coordinates of all 9 atoms:
Rb (0.000, 0.000, 0.000)
Cd (0.333, 0.667, 0.500)
Rh (0.667, 0.333, 0.500)
Br (0.383, 0.032, 0.693)
Br (0.383, 0.351, 0.307)
Br (0.649, 0.032, 0.307)
Br (0.649, 0.617, 0.693)
Br (0.968, 0.351, 0.693)
Br (0.968, 0.617, 0.307)

**Space group**: No. 149
**Crystal system**: trigonal
**ΔE_f (raw)**: -7.6 eV/f.u.
**Total moment**: 0.0 Bohr magnetons per cell


# 3
The following is a PBE calculation of a relaxed structure of Rb2CdRhBr, from the Alexandria database.

a = 6.982 Å, b = 6.982 Å, c = 5.688 Å
α = 90.00°, β = 90.00°, γ = 90.00°
Fractional coordinates of all 5 atoms:
Rb (0.000, 0.500, 0.000)
Rb (0.500, 0.000, 0.000)
Cd (0.000, 0.000, 0.000)
Rh (0.500, 0.500, 0.500)
Br (0.000, 0.000, 0.500)

**Space group**: No. 123
**Crystal system**: tetragonal
**ΔE_f (raw)**: 2.6 eV/f.u.
**Total moment**: 1.9 Bohr magnetons per cell


# 4
The following is a PBE calculation of a relaxed structure of RbCdRuBr6, from the Alexandria database.

a = 7.009 Å, b = 7.009 Å, c = 7.634 Å
α = 90.00°, β = 90.00°, γ = 120.00°
Fractional coordinates of all 9 atoms:
Rb (0.000, 0.000, 0.000)
Cd (0.667, 0.333, 0.500)
Ru (0.333, 0.667, 0.500)
Br (0.031, 0.383, 0.693)
Br (0.031, 0.648, 0.307)
Br (0.352, 0.383, 0.307)
Br (0.352, 0.969, 0.693)
Br (0.617, 0.648, 0.693)
Br (0.617, 0.969, 0.307)

**Space group**: No. 149
**Crystal system**: trigonal
**ΔE_f (raw)**: -6.9 eV/f.u.
**Total moment**: 1.0 Bohr magnetons per cell


# 5
The following is a PBE calculation of a relaxed structure of RbCdSb2Br, from the Alexandria database.

a = 5.386 Å, b = 5.386 Å, c = 8.601 Å
α = 90.00°, β = 90.00°, γ = 90.00°
Fractional coordinates of all 5 atoms:
Rb (0.000, 0.000, 0.000)
Cd (0.000, 0.000, 0.500)
Sb (0.000, 0.500, 0.500)
Sb (0.500, 0.000, 0.500)
Br (0.500, 0.500, 0.000)

**Space group**: No. 123
**Crystal system**: tetragonal
**ΔE_f (raw)**: 0.1 eV/f.u.
**Total moment**: 0.7 Bohr magnetons per cell


# 6
The following is a PBE calculation of a relaxed structure of RbCdSbBr6, from the Alexandria database.

a = 7.345 Å, b = 7.345 Å, c = 7.657 Å
α = 90.00°, β = 90.00°, γ = 120.00°
Fractional coordinates of all 9 atoms:
Rb (0.000, 0.000, 0.000)
Cd (0.667, 0.333, 0.500)
Sb (0.333, 0.667, 0.500)
Br (0.375, 0.002, 0.714)
Br (0.375, 0.373, 0.286)
Br (0.627, 0.002, 0.286)
Br (0.627, 0.625, 0.714)
Br (0.998, 0.373, 0.714)
Br (0.998, 0.625, 0.286)

**Space group**: No. 149
**Crystal system**: trigonal
**ΔE_f (raw)**: -8.6 eV/f.u.
**Total moment**: 0.0 Bohr magnetons per cell


# 7
The following is a PBE calculation of a relaxed structure of RbCdSe2Br, from the Alexandria database.

a = 5.284 Å, b = 5.284 Å, c = 6.029 Å
α = 90.00°, β = 90.00°, γ = 90.00°
Fractional coordinates of all 5 atoms:
Rb (0.000, 0.000, 0.000)
Cd (0.500, 0.500, 0.500)
Se (0.000, 0.500, 0.500)
Se (0.500, 0.000, 0.500)
Br (0.500, 0.500, 0.000)

**Space group**: No. 123
**Crystal system**: tetragonal
**Energy relative to the lowest polymorph listed for this composition**: 0 meV/atom
**ΔE_f (raw)**: -2.3 eV/f.u.
**Total moment**: 1.0 Bohr magnetons per cell


# 8
The following is a PBE calculation of a relaxed structure of RbCdSe2Br, from the Alexandria database.

a = 6.618 Å, b = 6.618 Å, c = 6.394 Å
α = 90.00°, β = 90.00°, γ = 90.00°
Fractional coordinates of all 5 atoms:
Rb (0.000, 0.000, 0.000)
Cd (0.500, 0.500, 0.500)
Se (0.000, 0.500, 0.000)
Se (0.500, 0.000, 0.000)
Br (0.000, 0.000, 0.500)

**Space group**: No. 123
**Crystal system**: tetragonal
**Energy relative to the lowest polymorph listed for this composition**: 935 meV/atom
**ΔE_f (raw)**: 2.3 eV/f.u.
**Total moment**: 4.0 Bohr magnetons per cell